VASP calculation (PBE) on SrSb2Os2 after structural relaxation.

As for the size of the total moment: 0.000 μB per atom. The uncorrected formation energy is -0.022 eV/atom. As for the space group: No. 139. Its calculated density is 10.38 g cm⁻³.

a = 6.0453 Å, b = 6.0453 Å, c = 6.0453 Å
α = 133.62°, β = 133.62°, γ = 67.68°
With the nearest neighbours (Å) after each atom.
Positions (direct):
Sr: 0.0000 0.0000 0.0000  8 Sb 3.46, 10 Os 3.57-3.83
Sb: 0.2500 0.7500 0.5000  4 Os 2.72
Sb: 0.7500 0.2500 0.5000  4 Os 2.72
Os: 0.3812 0.3812 0.0000  1 Os 2.39
Os: 0.6188 0.6188 0.0000  1 Os 2.39